Record 1
Here is a relaxed structure of AcSc2NbO8 from Alexandria via LeMat-Bulk. Energies are from GGA-PBE.

Output
M_tot: 0.00 μB per formula unit
symmetry: P2/m, No. 10
mass density: 5.32 g/cm3
energy relative to the elements, uncorrected: -2.811 eV/atom

Geometry as POSCAR:
```
AcSc2NbO8
1.0
4.828 -0.023 -0.003
0.024 4.824 -0.005
0.004 0.007 7.207
Ac Sc Nb O
1 2 1 8
Direct
0.000 0.000 0.500
0.500 0.500 0.795
0.500 0.500 0.205
0.000 0.000 0.000
0.194 0.805 0.213
0.702 0.704 0.000
0.806 0.196 0.213
0.806 0.195 0.787
0.298 0.296 0.000
0.194 0.804 0.787
0.609 0.611 0.500
0.391 0.389 0.500
```

Record 2
Here is a relaxed structure of AcScNb2O8 from Alexandria via LeMat-Bulk. Energies are from GGA-PBE.

Output
M_tot: 0.00 μB per formula unit
symmetry: P-3m1, No. 164
mass density: 4.62 g/cm3
energy relative to the elements, uncorrected: -2.939 eV/atom

Geometry as POSCAR:
```
AcScNb2O8
1.0
-2.734 5.062 1.456
-3.194 -4.823 -1.325
0.072 -1.873 6.648
Ac Sc Nb O
1 1 2 8
Direct
0.000 0.000 0.500
0.000 0.000 0.000
0.333 0.667 0.730
0.667 0.333 0.270
0.155 0.309 0.800
0.155 0.845 0.800
0.691 0.845 0.800
0.309 0.155 0.200
0.667 0.333 0.531
0.333 0.667 0.469
0.845 0.691 0.200
0.845 0.155 0.200
```